Sr3Ho2UN6 | PBE | relaxed

Structure (extended XYZ):
```
12
Lattice="6.130 -0.001 0.000 -3.064 5.309 0.000 -1.023 -1.771 6.004" Properties=species:S:1:pos:R:3 pbc="T T T"
Sr -2.028 3.530 3.002
Sr 4.071 0.008 3.002
Sr 1.022 1.769 3.002
Ho 0.002 3.539 0.000
Ho 3.064 1.770 0.000
U 0.000 0.000 0.000
N 2.992 1.895 4.777
N 2.121 3.673 1.220
N -0.949 1.642 1.227
N 0.146 3.539 4.777
N -0.078 -0.135 4.783
N 1.897 -0.001 1.227
```

Results
Raw formation energy   -15.7 eV per formula unit
VASP energy   -7.595 eV per atom
Theoretical density   7.8 g cm⁻³